{"formula": "Tl2BiB2O6", "functional": "PBE", "state": "optimized geometry", "e_tot_ev_per_atom": -6.2430, "crystal_system": "trigonal", "cell": [[-0.027, 5.308, -1.238], [-4.624, -2.875, -0.229], [1.827, 1.659, 7.070]], "species": ["Tl", "O", "Tl", "O", "O", "O", "B", "O", "O", "Bi", "B"], "frac_coords": [[0.290, 0.581, 0.871], [0.756, 0.953, 0.709], [0.710, 0.419, 0.129], [0.803, 0.047, 0.291], [0.244, 0.047, 0.291], [0.244, 0.488, 0.291], [0.899, 0.798, 0.696], [0.197, 0.953, 0.709], [0.756, 0.512, 0.709], [0.500, 0.000, 0.500], [0.101, 0.202, 0.304]]}

{"formula": "UBiB2O8", "functional": "PBE", "state": "optimized geometry", "e_tot_ev_per_atom": -7.7300, "crystal_system": "trigonal", "cell": [[-4.035, 3.088, 0.260], [-0.423, -4.865, 1.429], [1.739, 1.732, 6.414]], "species": ["B", "O", "O", "B", "U", "O", "O", "O", "O", "O", "Bi", "O"], "frac_coords": [[0.667, 0.333, 0.278], [0.824, 0.648, 0.201], [0.352, 0.176, 0.201], [0.333, 0.667, 0.722], [0.000, 0.000, 0.000], [0.824, 0.176, 0.201], [0.176, 0.824, 0.799], [0.333, 0.667, 0.513], [0.667, 0.333, 0.487], [0.648, 0.824, 0.799], [0.000, 0.000, 0.500], [0.176, 0.352, 0.799]]}

{"formula": "ZnBi2B2O7", "functional": "PBE", "state": "optimized geometry", "e_tot_ev_per_atom": -6.5579, "crystal_system": "orthorhombic", "cell": [[-1.953, 3.670, -2.696], [-5.663, -7.320, -5.861], [-8.435, 0.782, 7.173]], "species": ["O", "O", "O", "Bi", "B", "Zn", "O", "O", "B", "O", "Bi", "O", "Bi", "O", "Bi", "Zn", "B", "Zn", "O", "Zn", "O", "O", "Bi", "Bi", "B", "O", "Bi", "O", "O", "O", "O", "O", "O", "O", "B", "Bi", "O", "O", "B", "O", "O", "O", "O", "O", "O", "O", "B", "B"], "frac_coords": [[0.337, 0.135, 0.020], [0.248, 0.412, 0.800], [0.737, 0.201, 0.175], [0.582, 0.179, 0.532], [0.081, 0.116, 0.980], [0.069, 0.758, 0.740], [0.737, 0.701, 0.325], [0.337, 0.365, 0.520], [0.125, 0.486, 0.127], [0.929, 0.697, 0.584], [0.582, 0.679, 0.968], [0.957, 0.000, 0.000], [0.582, 0.321, 0.032], [0.217, 0.000, 0.500], [0.577, 0.984, 0.813], [0.069, 0.242, 0.260], [0.081, 0.616, 0.520], [0.069, 0.742, 0.240], [0.269, 0.872, 0.326], [0.069, 0.258, 0.760], [0.957, 0.500, 0.500], [0.737, 0.299, 0.675], [0.577, 0.484, 0.687], [0.577, 0.016, 0.187], [0.081, 0.384, 0.480], [0.269, 0.372, 0.174], [0.577, 0.516, 0.313], [0.737, 0.799, 0.825], [0.830, 0.479, 0.140], [0.337, 0.865, 0.980], [0.217, 0.500, 0.000], [0.929, 0.197, 0.916], [0.830, 0.979, 0.360], [0.248, 0.588, 0.200], [0.125, 0.514, 0.873], [0.582, 0.821, 0.468], [0.337, 0.635, 0.480], [0.269, 0.128, 0.674], [0.125, 0.014, 0.627], [0.830, 0.521, 0.860], [0.248, 0.912, 0.700], [0.269, 0.628, 0.826], [0.929, 0.303, 0.416], [0.929, 0.803, 0.084], [0.830, 0.021, 0.640], [0.248, 0.088, 0.300], [0.125, 0.986, 0.373], [0.081, 0.884, 0.020]]}